Material: NaYSb2
Method: DFT, PBE
State: relaxed

Structure (POSCAR):
```
NaYSb2
1.0
4.997 0.000 0.000
0.000 4.997 0.000
0.000 0.000 4.254
Na Y Sb
1 1 2
Direct
0.000 0.000 0.000 Na
0.500 0.500 0.000 Y
0.000 0.500 0.500 Sb
0.500 0.000 0.500 Sb
```

Summary:
Its crystal system is tetragonal. As for the total magnetization: 0.0 μB/cell. For the density of states at the Fermi level, the calculation gives 1.9 states/eV per cell. The raw formation energy is -0.583 eV/atom. The value obtained for the energy above the most stable polymorph in this dataset is 30 meV per atom. The space group is P4/mmm, No. 123.